VASP calculation (PBE-GGA) on Rb4Nd3BiSe8 after structural relaxation.

a = 9.485 Å, b = 9.485 Å, c = 9.485 Å
α = 54.94°, β = 54.94°, γ = 54.94°
Fractional coordinates of all 16 atoms:
Rb  0.000  0.000  0.000
Rb  0.000  0.500  0.500
Rb  0.500  0.000  0.500
Rb  0.500  0.500  0.000
Nd  0.000  0.000  0.500
Nd  0.000  0.500  0.000
Nd  0.500  0.000  0.000
Bi  0.500  0.500  0.500
Se  0.234  0.234  0.234
Se  0.234  0.734  0.734
Se  0.266  0.266  0.766
Se  0.266  0.766  0.266
Se  0.734  0.234  0.734
Se  0.734  0.734  0.234
Se  0.766  0.266  0.266
Se  0.766  0.766  0.766

Calculated values
The space group is R-3m, No. 166. Its formation energy (no corrections) is -1.50 eV/atom.